First-principles (GGA-PBEsol) data for Hf4Co4Ge7 after structural relaxation, as listed in the Alexandria database.

Uncorrected energy in eV per atom: -7.818
Calculated formation energy in eV/atom: -0.65

The structure in CIF format:
```
data_Hf4Co4Ge7
_cell_length_a 13.019
_cell_length_b 13.019
_cell_length_c 5.132
_cell_angle_alpha 90.00
_cell_angle_beta 90.00
_cell_angle_gamma 90.00
_space_group_name_H-M_alt 'I 4/m m m'
_space_group_IT_number 139
_space_group_name_Hall '-I 4 2'
loop_
_atom_site_label
_atom_site_type_symbol
_atom_site_fract_x
_atom_site_fract_y
_atom_site_fract_z
Hf1 Hf 0.000 0.195 0.000
Hf2 Hf 0.139 0.139 0.500
Co1 Co 0.149 0.351 0.250
Ge1 Ge 0.000 0.000 0.251
Ge2 Ge 0.000 0.292 0.500
Ge3 Ge 0.000 0.406 0.000
Ge4 Ge 0.207 0.207 0.000
```